(1)
Material: CsTl2CdAu
Method: DFT, PBE
State: optimized geometry

For the formation energy, the calculation gives 0.065 eV per atom. Its volume is 186.8 Å³ per cell. The calculation puts the energy above the most stable polymorph in this dataset at 82.2 meV/atom.

It has space group P4/mmm (No. 123), with a = 5.7983 Å, b = 5.7983 Å, c = 5.5552 Å, α = 90.00°, β = 90.00° and γ = 90.00°. The inequivalent atoms are Cs at (0.0000, 0.0000, 0.0000), Tl at (0.0000, 0.5000, 0.5000), Cd at (0.5000, 0.5000, 0.5000) and Au at (0.5000, 0.5000, 0.0000).


(2)
Material: HoTlAgSe2
Method: DFT, PBE
State: optimized geometry

Its volume is 298.9 Å³ per cell.

It has space group P2/c (No. 13), with a = 6.7509 Å, b = 5.9780 Å, c = 7.6332 Å, α = 90.00°, β = 103.99° and γ = 90.00°. The inequivalent atoms are Ho at (0.0000, 0.0186, 0.2500), Tl at (0.5000, 0.3150, 0.2500), Ag at (0.0000, 0.5000, 0.0000) and Se at (0.2594, 0.1799, 0.5662).


(3)
Material: CaH3Ir
Method: DFT, PBE
State: optimized geometry

Its volume is 214.6 Å³ per cell.

It has space group C2/m (No. 12), with a = 11.5867 Å, b = 3.7562 Å, c = 4.9392 Å, α = 90.00°, β = 93.13° and γ = 90.00°. The inequivalent atoms are Ca at (0.1439, 0.0000, 0.2398), H at (0.0724, 0.5000, 0.3959), H at (0.0783, 0.0000, 0.7496), H at (0.1836, 0.5000, 0.9773) and Ir at (0.0738, 0.5000, 0.7501).


no.,VASP energy (eV/atom)
1,-1.8908
2,-4.0980
3,-4.6070